Entry 1:
CuAs2Pb: relaxed, PBE.

a = 3.507 Å, b = 3.507 Å, c = 7.093 Å
α = 90.00°, β = 90.00°, γ = 90.00°
Space group P4mm (No. 99)
One atom of each set of equivalent atoms:
Cu: 0.000 0.000 0.000 (multiplicity 1)
As: 0.000 0.000 0.649 (multiplicity 1)
As: 0.500 0.500 0.801 (multiplicity 1)
Pb: 0.500 0.500 0.239 (multiplicity 1)

The calculation puts the calculated formation energy at 0.19 eV/atom.

Entry 2:
CuAs2Pd7Pb2: relaxed, PBE.

a = 5.706 Å, b = 5.687 Å, c = 14.132 Å
α = 90.00°, β = 97.33°, γ = 90.00°
Space group C2/m (No. 12)
One atom of each set of equivalent atoms:
Cu: 0.000 0.000 0.000 (multiplicity 2)
As: 0.072 0.500 0.238 (multiplicity 4)
Pd: 0.000 0.500 0.000 (multiplicity 2)
Pd: 0.114 0.500 0.418 (multiplicity 4)
Pd: 0.209 0.250 0.865 (multiplicity 8)
Pb: 0.112 0.000 0.387 (multiplicity 4)

The calculation puts the calculated formation energy at -0.20 eV/atom.

Entry 3:
CuAsPt2Pb: relaxed, PBE.

a = 4.814 Å, b = 4.814 Å, c = 4.527 Å
α = 90.00°, β = 90.00°, γ = 90.00°
Space group P4/mmm (No. 123)
One atom of each set of equivalent atoms:
Cu: 0.000 0.000 0.000 (multiplicity 1)
As: 0.000 0.000 0.500 (multiplicity 1)
Pt: 0.000 0.500 0.500 (multiplicity 2)
Pb: 0.500 0.500 0.000 (multiplicity 1)

The calculation puts the calculated formation energy at 0.13 eV/atom.

Entry 4:
Rb2CuAsPb: relaxed, PBE.

a = 7.041 Å, b = 7.041 Å, c = 4.921 Å
α = 90.00°, β = 90.00°, γ = 90.00°
Space group P4/mmm (No. 123)
One atom of each set of equivalent atoms:
Rb: 0.000 0.500 0.000 (multiplicity 2)
Cu: 0.000 0.000 0.500 (multiplicity 1)
As: 0.500 0.500 0.500 (multiplicity 1)
Pb: 0.000 0.000 0.000 (multiplicity 1)

The calculation puts the calculated formation energy at 0.53 eV/atom.

Entry 5:
CuAsPbS4: relaxed, PBE.

a = 6.448 Å, b = 6.448 Å, c = 8.830 Å
α = 90.00°, β = 90.00°, γ = 90.00°
Space group I-4 (No. 82)
One atom of each set of equivalent atoms:
Cu: 0.000 0.000 0.000 (multiplicity 2)
As: 0.000 0.500 0.250 (multiplicity 2)
Pb: 0.000 0.000 0.500 (multiplicity 2)
S: 0.174 0.244 0.137 (multiplicity 8)

The formation energy (no corrections) is -0.181 eV/atom.

Entry 6:
CuAsPbS3: relaxed, PBE.

a = 8.378 Å, b = 3.792 Å, c = 8.671 Å
α = 90.00°, β = 101.04°, γ = 90.00°
Space group P2_1/m (No. 11)
One atom of each set of equivalent atoms:
Cu: 0.074 0.250 0.092 (multiplicity 2)
As: 0.340 0.750 0.372 (multiplicity 2)
Pb: 0.175 0.250 0.756 (multiplicity 2)
S: 0.141 0.250 0.365 (multiplicity 2)
S: 0.215 0.750 0.005 (multiplicity 2)
S: 0.423 0.750 0.642 (multiplicity 2)

The formation energy (no corrections) is -0.229 eV/atom. As for the relative energy among the computed polymorphs: 48.4 kJ/mol of formula units.

Number 1: M_tot 0.0 μB/cell, theoretical density 8004 kg/m3. Number 2: M_tot 0.0 μB/cell, theoretical density 10023 kg/m3. Number 3: M_tot 0.0 μB/cell, theoretical density 11644 kg/m3. Number 4: M_tot 2.1 μB/cell, theoretical density 3517 kg/m3. Number 5: M_tot 0.0 μB/cell, theoretical density 4287 kg/m3. Number 6: M_tot 0.0 μB/cell, theoretical density 5426 kg/m3.